Compound: ThTl2InS5
Source: the Alexandria database
Functional: PBE
Structure: relaxed

Cell lengths 4.1180, 9.3189, 13.5925 Å; angles 90.00, 90.00, 102.76 degrees
Closest atoms and distances in Å follow each position.
Element x y z (fractional)
Th 0.7773 0.5547 0.5420  6 S 2.72-2.97
Th 0.2227 0.4453 0.0420  6 S 2.72-2.97
Tl 0.8801 0.7602 0.8277  7 S 3.18-3.48
Tl 0.0915 0.1831 0.6510  5 S 2.92-3.18
Tl 0.1199 0.2398 0.3277  7 S 3.18-3.48
Tl 0.9085 0.8169 0.1510  5 S 2.92-3.18
In 0.5680 0.1360 0.9240  4 S 2.43-2.54
In 0.4320 0.8640 0.4240  4 S 2.43-2.54
S 0.3723 0.7445 0.0065  1 Th 2.76, 2 Tl 2.92
S 0.7062 0.4123 0.9009  1 In 2.53, 2 Th 2.83
S 0.5054 0.0108 0.7662  1 In 2.43
S 0.2779 0.5558 0.6730  2 Th 2.72
S 0.9403 0.8807 0.5326  2 In 2.54
S 0.6277 0.2555 0.5065  1 Th 2.76, 2 Tl 2.92
S 0.2938 0.5877 0.4009  1 In 2.53, 2 Th 2.83
S 0.4946 0.9892 0.2662  1 In 2.43
S 0.7221 0.4442 0.1730  2 Th 2.72
S 0.0597 0.1193 0.0326  2 In 2.54

uncorrected formation energy	-0.86	eV/atom
total magnetization	0.0	μB/cell